Below is an optimized crystal structure of NbRe2Ru2, with properties calculated at the GGA-PBE level.

Results
formation energy: 0.0519 eV/atom
E_tot: -10.652 eV per atom
volume: 15.71 Å³/atom
relative energy among the computed polymorphs: 0.000 eV/atom

Cell: 7.5337 7.5337 2.7684 Å, 90.00 90.00 90.00°
Sites, in units of the cell vectors:
Re1 0.3776 0.8776 0.0000
Re2 0.8776 0.6224 0.0000
Re3 0.6224 0.1224 0.0000
Re4 0.1224 0.3776 0.0000
Nb1 0.0000 0.0000 0.0000
Nb2 0.5000 0.5000 0.0000
Ru1 0.1725 0.6725 0.5000
Ru2 0.6725 0.8275 0.5000
Ru3 0.8275 0.3275 0.5000
Ru4 0.3275 0.1725 0.5000